1.
This record from Alexandria via LeMat-Bulk describes crystalline HfP2O7 at its relaxed geometry. The functional is GGA-PBE.

abc: 5.0863 7.1471 8.5499
angles: 91.68 94.51 105.15
Fractional positions:
O 0.9454 0.2267 0.1406
O 0.6929 0.3840 0.3307
O 0.1321 0.3042 0.4256
O 0.4218 0.6946 0.3412
O 0.6778 0.8277 0.1072
O 0.0546 0.7733 0.8594
O 0.2946 0.9641 0.6432
O 0.3222 0.1723 0.8928
O 0.2654 0.9391 0.1753
O 0.7054 0.0359 0.3568
O 0.3071 0.6160 0.6693
O 0.5782 0.3054 0.6588
O 0.7346 0.0609 0.8247
O 0.8679 0.6958 0.5744
Hf 0.5000 0.5000 0.5000
Hf 0.0000 0.0000 0.0000
P 0.5078 0.8665 0.2386
P 0.8766 0.2488 0.3103
P 0.1234 0.7512 0.6897
P 0.4922 0.1335 0.7614

E_form (uncorrected): -2.681 eV per atom
density: 3.92 Mg/m³
energy above the lowest structure with this stoichiometry: 0.23 eV per formula unit
total DFT energy (no corrections): -8.2295 eV/atom

***

2.
This record from Alexandria via LeMat-Bulk describes crystalline Hf2PO at its relaxed geometry. The functional is GGA-PBE.

abc: 5.2894 5.2894 6.5093
angles: 66.03 66.03 90.00
Fractional positions:
O 0.5000 0.5000 0.0000
O 0.2500 0.7500 0.5000
Hf 0.1881 0.6250 0.2500
Hf 0.3750 0.4381 0.7500
Hf 0.8750 0.8119 0.7500
Hf 0.5619 0.1250 0.2500
P 0.0000 0.0000 0.0000
P 0.7500 0.2500 0.5000

E_form (uncorrected): -1.413 eV per atom
density: 9.00 Mg/m³
energy above the lowest structure with this stoichiometry: 0.00 eV per formula unit
total DFT energy (no corrections): -8.9821 eV/atom

***

3.
This record from Alexandria via LeMat-Bulk describes crystalline HfP2O6 at its relaxed geometry. The functional is GGA-PBE.

abc: 5.3405 5.3405 6.7137
angles: 66.56 66.56 60.00
Fractional positions:
O 0.9125 0.3873 0.2318
O 0.6198 0.5446 0.7686
O 0.4684 0.9125 0.2318
O 0.5446 0.0671 0.7686
O 0.0671 0.6198 0.7686
O 0.3873 0.4684 0.2318
Hf 0.3331 0.3331 0.0008
P 0.6081 0.6081 0.1758
P 0.7249 0.7249 0.8254

E_form (uncorrected): -2.444 eV per atom
density: 3.79 Mg/m³
total DFT energy (no corrections): -8.0571 eV/atom

***

4.
This record from Alexandria via LeMat-Bulk describes crystalline HfP2PbO8 at its relaxed geometry. The functional is GGA-PBE.

abc: 5.0497 5.0497 7.6318
angles: 89.17 89.17 64.25
Fractional positions:
O 0.2254 0.2254 0.9160
O 0.2952 0.2952 0.5861
O 0.6951 0.2223 0.8037
O 0.3049 0.7777 0.1963
O 0.7746 0.7746 0.0840
O 0.7777 0.3049 0.1963
O 0.7048 0.7048 0.4139
O 0.2223 0.6951 0.8037
P 0.6452 0.6452 0.2275
P 0.3548 0.3548 0.7725
Hf 0.0000 0.0000 0.0000
Pb 0.0000 0.0000 0.5000

E_form (uncorrected): -2.491 eV per atom
density: 5.45 Mg/m³
total DFT energy (no corrections): -7.8365 eV/atom

***

5.
This record from Alexandria via LeMat-Bulk describes crystalline HfPPbO2 at its relaxed geometry. The functional is GGA-PBE.

abc: 4.0701 4.0701 5.4310
angles: 90.00 90.00 90.00
Fractional positions:
O 0.0000 0.5000 0.0000
O 0.5000 0.0000 0.0000
Pb 0.5000 0.5000 0.5000
Hf 0.0000 0.0000 0.0000
P 0.0000 0.0000 0.5000

E_form (uncorrected): -1.635 eV per atom
density: 8.28 Mg/m³
energy above the lowest structure with this stoichiometry: 0.00 eV per formula unit
total DFT energy (no corrections): -7.4328 eV/atom

***

6.
This record from Alexandria via LeMat-Bulk describes crystalline HfPPbO2 at its relaxed geometry. The functional is GGA-PBE.

abc: 4.1071 4.1071 5.4111
angles: 90.00 90.00 90.00
Fractional positions:
P 0.0000 0.0000 0.5000
Hf 0.5000 0.5000 0.5000
O 0.0000 0.5000 0.0000
O 0.5000 0.0000 0.0000
Pb 0.0000 0.0000 0.0000

E_form (uncorrected): -0.079 eV per atom
density: 8.16 Mg/m³
energy above the lowest structure with this stoichiometry: 7.78 eV per formula unit
total DFT energy (no corrections): -5.8767 eV/atom

***

7.
This record from Alexandria via LeMat-Bulk describes crystalline HfP2PtO at its relaxed geometry. The functional is GGA-PBE.

abc: 4.7807 4.7807 3.7887
angles: 90.00 90.00 90.00
Fractional positions:
O 0.0000 0.0000 0.5000
P 0.0000 0.5000 0.0000
P 0.5000 0.0000 0.0000
Hf 0.5000 0.5000 0.5000
Pt 0.0000 0.0000 0.0000

E_form (uncorrected): 0.069 eV per atom
density: 8.66 Mg/m³
energy above the lowest structure with this stoichiometry: 1.24 eV per formula unit
total DFT energy (no corrections): -6.2854 eV/atom

***

8.
This record from Alexandria via LeMat-Bulk describes crystalline HfP2PtO at its relaxed geometry. The functional is GGA-PBE.

abc: 5.0841 5.0841 3.8346
angles: 90.00 90.00 90.00
Fractional positions:
Pt 0.5000 0.5000 0.5000
O 0.0000 0.0000 0.5000
Hf 0.0000 0.0000 0.0000
P 0.0000 0.5000 0.0000
P 0.5000 0.0000 0.0000

E_form (uncorrected): -0.180 eV per atom
density: 7.56 Mg/m³
energy above the lowest structure with this stoichiometry: 0.00 eV per formula unit
total DFT energy (no corrections): -6.5343 eV/atom

***

9.
This record from Alexandria via LeMat-Bulk describes crystalline RbHfP2O at its relaxed geometry. The functional is GGA-PBE.

abc: 5.0691 5.0691 4.1149
angles: 90.00 90.00 90.00
Fractional positions:
O 0.0000 0.0000 0.5000
P 0.5000 0.0000 0.0000
P 0.0000 0.5000 0.0000
Hf 0.5000 0.5000 0.5000
Rb 0.0000 0.0000 0.0000

E_form (uncorrected): 1.372 eV per atom
density: 5.37 Mg/m³
energy above the lowest structure with this stoichiometry: 10.67 eV per formula unit
total DFT energy (no corrections): -3.9678 eV/atom

***

10.
This record from Alexandria via LeMat-Bulk describes crystalline RbHfP2O at its relaxed geometry. The functional is GGA-PBE.

abc: 5.3408 5.3408 4.0908
angles: 90.00 90.00 90.00
Fractional positions:
O 0.0000 0.0000 0.5000
P 0.0000 0.5000 0.0000
P 0.5000 0.0000 0.0000
Rb 0.5000 0.5000 0.5000
Hf 0.0000 0.0000 0.0000

E_form (uncorrected): -0.763 eV per atom
density: 4.87 Mg/m³
energy above the lowest structure with this stoichiometry: 0.00 eV per formula unit
total DFT energy (no corrections): -6.1028 eV/atom

***

11.
This record from Alexandria via LeMat-Bulk describes crystalline Rb2HfPO6 at its relaxed geometry. The functional is GGA-PBE.

abc: 5.2009 6.3854 6.3854
angles: 120.00 90.00 90.00
Fractional positions:
Rb 0.8590 0.6667 0.3333
Rb 0.1410 0.3333 0.6667
O 0.2003 0.2528 0.1264
O 0.2003 0.8736 0.7472
O 0.7997 0.1264 0.8736
O 0.7997 0.1264 0.2528
O 0.2003 0.8736 0.1264
O 0.7997 0.7472 0.8736
P 0.0000 0.0000 0.0000
Hf 0.5000 0.0000 0.0000

E_form (uncorrected): -2.084 eV per atom
density: 4.31 Mg/m³
total DFT energy (no corrections): -6.7886 eV/atom

***

12.
This record from Alexandria via LeMat-Bulk describes crystalline HfReP2O at its relaxed geometry. The functional is GGA-PBE.

abc: 4.8152 4.8152 3.6599
angles: 90.00 90.00 90.00
Fractional positions:
Hf 0.5000 0.5000 0.5000
P 0.5000 0.0000 0.0000
P 0.0000 0.5000 0.0000
Re 0.0000 0.0000 0.0000
O 0.0000 0.0000 0.5000

E_form (uncorrected): -0.247 eV per atom
density: 8.66 Mg/m³
energy above the lowest structure with this stoichiometry: 0.00 eV per formula unit
total DFT energy (no corrections): -7.8832 eV/atom

***

What is the density in the second record? 9.00 Mg/m³

***

What is the total DFT energy (no corrections) in the second record? -8.9821 eV/atom

***

Among the records above, which one has the lowest density? HfP2O6

***

The highest total DFT energy (no corrections) belongs to which entry? number 9